Material: BaCa2W
Method: DFT, SCAN
State: single point on PBEsol structure

Results
- Uncorrected energy: -124.153 eV/cell
- Calculated formation energy: 4.4 eV per formula unit
- Energy above the lowest structure with this stoichiometry: 8 meV/atom

Lattice parameters (Å, degrees): 5.5005 5.5404 5.5005 60.24 90.00 119.76
With the nearest neighbours (Å) after each atom.
Fractional positions:
Ca1 0.2500 0.5000 0.2500  4 Ba 3.38, 4 W 3.38
Ca2 0.7500 0.5000 0.7500  4 W 3.38, 4 Ba 3.38
Ba1 0.0000 0.0000 0.0000  8 Ca 3.38
W1 0.5000 0.0000 0.5000  8 Ca 3.38


Material: CdSb2TeN
Method: DFT, SCAN
State: single point on PBEsol structure

Results
- Uncorrected energy: -143.580 eV/cell
- Raw formation energy: 1580 meV per atom
- Energy above the lowest structure with this stoichiometry: 911 meV/atom

Lattice parameters (Å, degrees): 5.4528 5.4528 5.5870 90.00 90.00 90.00
With the nearest neighbours (Å) after each atom.
Fractional positions:
Sb1 0.0000 0.5000 0.0000  2 Cd 2.73
Sb2 0.5000 0.0000 0.0000  2 Cd 2.73
N1 0.5000 0.5000 0.5000  4 Te 3.86, 8 Sb 3.90
Te1 0.0000 0.0000 0.5000  2 Cd 2.79
Cd1 0.0000 0.0000 0.0000  4 Sb 2.73, 2 Te 2.79


Material: Cr2CdNi
Method: DFT, SCAN
State: single point on PBEsol structure

Results
- Uncorrected energy: -82.845 eV/cell
- Calculated formation energy: 0.5 eV per formula unit

Lattice parameters (Å, degrees): 3.8838 3.8838 4.5600 115.20 115.20 90.00
With the nearest neighbours (Å) after each atom.
Fractional positions:
Cd1 0.2500 0.7500 0.5000  8 Cr 2.66-2.75, 4 Ni 2.66
Cr1 0.0000 0.0000 0.0000  4 Cd 2.66, 4 Cr 2.66, 4 Ni 2.75
Cr2 0.7500 0.2500 0.5000  4 Cr 2.66, 4 Ni 2.66, 4 Cd 2.75
Ni1 0.5000 0.5000 0.0000  8 Cr 2.66-2.75, 4 Cd 2.66


Material: Zn2CdAs
Method: DFT, SCAN
State: single point on PBEsol structure

Results
- Uncorrected energy: -76.893 eV/cell
- Calculated formation energy: 0.7 eV per formula unit
- Energy above the lowest structure with this stoichiometry: 26 meV/atom

Lattice parameters (Å, degrees): 2.9304 2.9304 8.0654 90.00 90.00 89.96
With the nearest neighbours (Å) after each atom.
Fractional positions:
As1 0.0000 0.0000 0.5248  4 Zn 2.85, 4 As 2.93, 4 Cd 3.15
Cd1 0.5000 0.5000 0.2310  4 Zn 2.92, 4 Cd 2.93, 4 As 3.15
Zn1 0.0000 0.0000 0.9764  8 Zn 2.67-2.93, 4 Cd 2.92
Zn2 0.5000 0.5000 0.7678  8 Zn 2.67-2.93, 4 As 2.85


Material: LiY2Sb
Method: DFT, SCAN
State: single point on PBEsol structure

Results
- Uncorrected energy: -98.042 eV/cell
- Raw formation energy: -677 meV per atom

Lattice parameters (Å, degrees): 4.1570 4.2912 6.0231 90.00 110.19 90.00
With the nearest neighbours (Å) after each atom.
Fractional positions:
Y1 0.1050 0.0000 0.2101  4 Sb 3.12, 3 Li 3.17-3.24
Y2 0.4027 0.5000 0.8053  4 Li 3.11, 3 Sb 3.18-3.23
Sb1 0.6840 0.5000 0.3680  2 Li 2.67
Li1 0.8250 0.0000 0.6500  2 Sb 2.67


Material: ZrIrW2
Method: DFT, SCAN
State: single point on PBEsol structure

Results
- Uncorrected energy: -240.802 eV/cell
- Calculated formation energy: 0.4 eV per formula unit
- Energy above the lowest structure with this stoichiometry: 223 meV/atom

Lattice parameters (Å, degrees): 3.4144 4.3678 4.3678 90.00 90.00 90.00
With the nearest neighbours (Å) after each atom.
Fractional positions:
Ir1 0.5000 0.0000 0.0000  8 W 2.77, 4 Zr 3.09
W1 0.0000 0.0000 0.5000  4 Zr 2.77, 4 Ir 2.77, 4 W 3.09
W2 0.0000 0.5000 0.0000  4 Zr 2.77, 4 Ir 2.77, 4 W 3.09
Zr1 0.5000 0.5000 0.5000  8 W 2.77, 4 Ir 3.09


Material: Be2RePb
Method: DFT, SCAN
State: single point on PBEsol structure

Results
- Uncorrected energy: -153.540 eV/cell
- Calculated formation energy: 2.0 eV per formula unit

Lattice parameters (Å, degrees): 3.0208 3.3824 5.9255 90.00 90.03 90.00
With the nearest neighbours (Å) after each atom.
Fractional positions:
Pb1 0.7486 0.0000 0.5163  3 Be 2.62-2.67
Re1 0.2502 0.5000 0.8578  6 Be 2.34-2.38
Be1 0.7504 0.0000 0.9582  2 Be 2.10, 4 Re 2.34
Be2 0.7508 0.5000 0.1677  2 Be 2.10


Material: CoTcNi2
Method: DFT, SCAN
State: single point on PBEsol structure

Results
- Uncorrected energy: -84.196 eV/cell
- Calculated formation energy: 0.5 eV per formula unit
- Energy above the lowest structure with this stoichiometry: 39 meV/atom

Lattice parameters (Å, degrees): 2.5287 3.5408 4.9723 90.00 90.00 90.00
With the nearest neighbours (Å) after each atom.
Fractional positions:
Ni1 0.0000 0.0000 0.0029  2 Tc 2.47-2.50, 6 Ni 2.48-2.53, 4 Co 2.52
Ni2 0.5000 0.5000 0.2428  2 Co 2.46-2.51, 6 Ni 2.48-2.53, 4 Tc 2.54
Co1 0.5000 0.5000 0.7482  6 Ni 2.46-2.52, 4 Tc 2.49, 2 Co 2.53
Tc1 0.0000 0.0000 0.5061  6 Ni 2.47-2.54, 4 Co 2.49, 2 Tc 2.53